DFT (PBE) results for TaNb2Ga2 after structural relaxation.

E   -7.980 eV per atom

abc: 6.9276 6.9276 3.5109
angles: 90.00 90.00 90.00
Fractional coordinates of all 10 atoms:
Ga  0.3739  0.8739  0.0000
Ga  0.1261  0.3739  0.0000
Ga  0.8739  0.6261  0.0000
Ga  0.6261  0.1261  0.0000
Ta  0.5000  0.5000  0.0000
Ta  0.0000  0.0000  0.0000
Nb  0.1754  0.6754  0.5000
Nb  0.3246  0.1754  0.5000
Nb  0.6754  0.8246  0.5000
Nb  0.8246  0.3246  0.5000

DFT (PBE) results for TaNb2Ga after structural relaxation.

E   -8.805 eV per atom

abc: 4.6228 4.6228 4.6228
angles: 60.00 60.00 60.00
Fractional coordinates of all 4 atoms:
Ga  0.5000  0.5000  0.5000
Ta  0.2500  0.2500  0.2500
Nb  0.7500  0.7500  0.7500
Nb  0.0000  0.0000  0.0000

What magnetic moment values result from the calculations? In sequence: 0.00, 0.00 μB/atom.